Record 1
The following is a PBE calculation of KOsCl6 after structural relaxation, from Alexandria.

Values from the calculation:
* formation energy (no corrections): -0.83 eV per atom
* polymorph energy (0 for the lowest one): 0.018 eV/atom

a b c (Å): 6.7691 6.7859 7.3300
angles (deg): 90.11 117.38 119.87
With the nearest neighbours (Å) after each atom.
Sites, in units of the cell vectors:
K (0.0000, 0.0000, 0.0000)  6 Cl 3.31
Os (0.0000, 0.5000, 0.5000)  6 Cl 2.32
Cl (0.1656, 0.4941, 0.2857)  1 Os 2.32
Cl (0.2082, 0.3298, 0.7152)  1 Os 2.32
Cl (0.3840, 0.8777, 0.7153)  1 Os 2.32
Cl (0.6160, 0.1223, 0.2847)  1 Os 2.32
Cl (0.7918, 0.6702, 0.2848)  1 Os 2.32
Cl (0.8344, 0.5059, 0.7143)  1 Os 2.32

***

Record 2
The following is a PBE calculation of KOsCl after structural relaxation, from Alexandria.

Values from the calculation:
* formation energy (no corrections): 1.14 eV per atom
* polymorph energy (0 for the lowest one): 0.250 eV/atom
* DOS(E_F): 1.04 states/eV per atom

a b c (Å): 4.8906 4.8906 2.9202
angles (deg): 90.00 90.00 120.00
With the nearest neighbours (Å) after each atom.
Sites, in units of the cell vectors:
K (0.0000, 0.0000, 0.0000)  2 K 2.92, 6 Os 3.18, 6 Cl 3.18
Os (0.6667, 0.3333, 0.5000)  3 Cl 2.82, 2 Os 2.92
Cl (0.3333, 0.6667, 0.5000)  3 Os 2.82, 2 Cl 2.92

***

Record 3
The following is a PBE calculation of KOs2Cl2 after structural relaxation, from Alexandria.

Values from the calculation:
* formation energy (no corrections): 0.64 eV per atom
* polymorph energy (0 for the lowest one): 0.262 eV/atom
* DOS(E_F): 1.03 states/eV per atom

a b c (Å): 9.0183 9.0183 2.9525
angles (deg): 90.00 90.00 90.00
With the nearest neighbours (Å) after each atom.
Sites, in units of the cell vectors:
K (0.0000, 0.0000, 0.0000)  2 K 2.95, 4 Cl 3.19
K (0.5000, 0.5000, 0.0000)  2 K 2.95, 4 Cl 3.19
Os (0.0873, 0.4127, 0.5000)  1 Os 2.23
Os (0.4127, 0.9127, 0.5000)  1 Os 2.23
Os (0.5873, 0.0873, 0.5000)  1 Os 2.23
Os (0.9127, 0.5873, 0.5000)  1 Os 2.23
Cl (0.2449, 0.2551, 0.0000)  2 Os 2.49
Cl (0.2551, 0.7551, 0.0000)  2 Os 2.49
Cl (0.7449, 0.2449, 0.0000)  2 Os 2.49
Cl (0.7551, 0.7449, 0.0000)  2 Os 2.49